[1]
A geometry-optimized TePtPbO structure, computed with PBE.

```
TePtPbO
1.0
4.365 0.000 0.000
0.000 4.365 0.000
0.000 0.000 9.096
O Pb Pt Te
2 2 2 2
Direct
0.750 0.250 0.500
0.250 0.750 0.500
0.750 0.750 0.229
0.250 0.250 0.771
0.250 0.250 0.454
0.750 0.750 0.546
0.250 0.250 0.143
0.750 0.750 0.857
```

Results
Offset from the most stable computed form, meV/atom: 565.0
Total energy, eV per formula unit: -18.092
SG: No. 129
Mass density, g/cm3: 10.461

=====

[2]
A geometry-optimized Zr3Cd2Ga2 structure, computed with PBE.

```
Zr3Cd2Ga2
1.0
4.385 -6.848 1.805
6.449 -3.258 4.144
2.531 -5.303 5.904
Cd Ga Zr
2 2 3
Direct
0.240 0.240 0.240
0.756 0.756 0.756
0.003 0.003 0.003
0.498 0.498 0.498
0.376 0.376 0.376
0.626 0.626 0.626
0.875 0.875 0.875
```

Results
Total energy, eV per formula unit: -34.115
SG: No. 160
Mass density, g/cm3: 6.875

=====

[3]
A geometry-optimized NiBIrPd structure, computed with PBE.

```
NiBIrPd
1.0
-0.132 -2.481 3.295
-0.131 1.616 3.795
-3.455 -0.272 2.241
B Ir Ni Pd
1 1 1 1
Direct
0.000 0.000 0.000
0.500 0.500 0.500
0.750 0.750 0.750
0.250 0.250 0.250
```

Results
Offset from the most stable computed form, meV/atom: 458.0
Total energy, eV per formula unit: -23.313
SG: No. 216
Mass density, g/cm3: 12.301

=====

[4]
A geometry-optimized RbTaPO structure, computed with PBE.

```
RbTaPO
1.0
-3.598 1.008 0.286
-1.048 -3.432 -1.079
-0.074 -2.924 9.371
O P Rb Ta
2 2 2 2
Direct
0.750 0.250 0.000
0.250 0.750 0.000
0.250 0.250 0.238
0.750 0.750 0.762
0.750 0.250 0.500
0.250 0.750 0.500
0.750 0.750 0.118
0.250 0.250 0.882
```

Results
Offset from the most stable computed form, meV/atom: 665.7
Total energy, eV per formula unit: -24.595
SG: No. 129
Mass density, g/cm3: 7.551

=====

[5]
A geometry-optimized ZrGeTe structure, computed with PBE.

```
ZrGeTe
1.0
-4.514 -5.557 -1.236
1.679 -1.951 2.640
-6.969 4.016 7.399
Ge Te Zr
4 4 4
Direct
0.704 0.250 0.155
0.204 0.250 0.345
0.796 0.750 0.655
0.296 0.750 0.845
0.188 0.250 0.086
0.688 0.250 0.414
0.312 0.750 0.586
0.812 0.750 0.914
0.433 0.750 0.227
0.933 0.750 0.273
0.067 0.250 0.727
0.567 0.250 0.773
```

Results
Offset from the most stable computed form, meV/atom: 177.4
Total energy, eV per formula unit: -17.359
SG: No. 62
Mass density, g/cm3: 6.613

=====

[6]
A geometry-optimized InCuMoPt structure, computed with PBE.

```
InCuMoPt
1.0
0.000 3.195 3.195
3.195 0.000 3.195
3.195 3.195 0.000
Cu In Mo Pt
1 1 1 1
Direct
0.750 0.750 0.750
0.000 0.000 0.000
0.500 0.500 0.500
0.250 0.250 0.250
```

Results
Offset from the most stable computed form, meV/atom: 0.0
Total energy, eV per formula unit: -22.874
SG: No. 216
Mass density, g/cm3: 11.947

=====

[7]
A geometry-optimized Lu3Nb3Re2N12 structure, computed with PBE.

```
Lu3Nb3Re2N12
1.0
-6.324 6.324 6.324
6.324 -6.324 6.324
6.324 6.324 -6.324
Lu N Nb Re
12 48 12 8
Direct
0.250 0.375 0.125
0.375 0.750 0.125
0.375 0.125 0.250
0.875 0.625 0.250
0.750 0.125 0.375
0.125 0.250 0.375
0.875 0.750 0.625
0.250 0.875 0.625
0.125 0.375 0.750
0.625 0.875 0.750
0.625 0.250 0.875
0.750 0.625 0.875
0.326 0.910 0.028
0.202 0.118 0.028
0.882 0.410 0.084
0.702 0.674 0.084
0.618 0.416 0.090
0.972 0.674 0.090
0.028 0.202 0.118
0.590 0.916 0.118
0.202 0.584 0.174
0.472 0.590 0.174
0.584 0.174 0.202
0.118 0.028 0.202
0.326 0.916 0.298
0.472 0.382 0.298
0.910 0.028 0.326
0.916 0.298 0.326
0.298 0.472 0.382
0.584 0.910 0.382
0.084 0.882 0.410
0.826 0.528 0.410
0.090 0.618 0.416
0.826 0.798 0.416
0.590 0.174 0.472
0.382 0.298 0.472
0.618 0.702 0.528
0.410 0.826 0.528
0.174 0.202 0.584
0.910 0.382 0.584
0.916 0.118 0.590
0.174 0.472 0.590
0.416 0.090 0.618
0.702 0.528 0.618
0.090 0.972 0.674
0.084 0.702 0.674
0.674 0.084 0.702
0.528 0.618 0.702
0.416 0.826 0.798
0.882 0.972 0.798
0.528 0.410 0.826
0.798 0.416 0.826
0.410 0.084 0.882
0.972 0.798 0.882
0.028 0.326 0.910
0.382 0.584 0.910
0.118 0.590 0.916
0.298 0.326 0.916
0.674 0.090 0.972
0.798 0.882 0.972
0.875 0.250 0.125
0.750 0.875 0.125
0.625 0.375 0.250
0.125 0.875 0.250
0.250 0.625 0.375
0.625 0.750 0.375
0.375 0.250 0.625
0.750 0.375 0.625
0.875 0.125 0.750
0.375 0.625 0.750
0.250 0.125 0.875
0.125 0.750 0.875
0.000 0.000 0.000
0.500 0.000 0.000
0.000 0.500 0.000
0.500 0.500 0.000
0.000 0.000 0.500
0.500 0.000 0.500
0.000 0.500 0.500
0.500 0.500 0.500
```

Results
Total energy, eV per formula unit: -182.311
SG: No. 230
Mass density, g/cm3: 8.824

=====

[8]
A geometry-optimized AsPdNO structure, computed with PBE.

```
AsPdNO
1.0
4.100 0.000 0.000
0.000 4.100 0.000
0.000 0.000 6.106
As N O Pd
2 2 2 2
Direct
0.750 0.250 0.500
0.250 0.750 0.500
0.750 0.750 0.416
0.250 0.250 0.584
0.750 0.250 0.000
0.250 0.750 0.000
0.250 0.250 0.084
0.750 0.750 0.916
```

Results
Offset from the most stable computed form, meV/atom: 572.7
Total energy, eV per formula unit: -20.794
SG: No. 129
Mass density, g/cm3: 6.837

=====

[9]
A geometry-optimized PmDy structure, computed with PBE.

```
PmDy
1.0
-3.358 -0.651 1.228
1.486 -2.200 -2.481
2.177 -3.282 4.214
Dy Pm
1 1
Direct
0.667 0.333 0.750
0.333 0.667 0.250
```

Results
Offset from the most stable computed form, meV/atom: 0.0
Total energy, eV per formula unit: -9.297
SG: No. 187
ΔE_f, eV per formula unit: 0.050
Mass density, g/cm3: 7.740

=====

[10]
A geometry-optimized LuCuGeTe3 structure, computed with PBE.

```
LuCuGeTe3
1.0
-0.563 2.367 -13.769
3.909 -1.263 -0.377
-3.609 -10.669 -1.687
Cu Ge Lu Te
4 4 4 12
Direct
0.505 0.750 0.078
0.005 0.750 0.422
0.995 0.250 0.578
0.495 0.250 0.922
0.704 0.250 0.057
0.204 0.250 0.443
0.796 0.750 0.557
0.296 0.750 0.943
0.002 0.250 0.174
0.502 0.250 0.326
0.498 0.750 0.674
0.998 0.750 0.826
0.879 0.750 0.053
0.380 0.250 0.111
0.644 0.750 0.240
0.144 0.750 0.260
0.880 0.250 0.389
0.379 0.750 0.447
0.621 0.250 0.553
0.120 0.750 0.611
0.856 0.250 0.740
0.356 0.250 0.760
0.620 0.750 0.889
0.121 0.250 0.947
```

Results
Offset from the most stable computed form, meV/atom: 6.2
Total energy, eV per formula unit: -25.425
SG: No. 62
Mass density, g/cm3: 7.017

=====

[11]
A geometry-optimized LiTaTe2AuSe structure, computed with PBE.

```
LiTaTe2AuSe
1.0
-6.341 2.148 3.300
5.452 -4.983 -1.080
5.370 4.237 7.560
Au Li Se Ta Te
2 2 2 2 4
Direct
0.456 0.544 0.250
0.544 0.456 0.750
0.752 0.248 0.250
0.248 0.752 0.750
0.090 0.910 0.250
0.910 0.090 0.750
0.000 0.000 0.000
0.000 0.000 0.500
0.352 0.648 0.033
0.352 0.648 0.467
0.648 0.352 0.533
0.648 0.352 0.967
```

Results
Total energy, eV per formula unit: -28.441
SG: No. 63
Mass density, g/cm3: 8.734

=====

[12]
A geometry-optimized CoGe3 structure, computed with PBE.

```
CoGe3
1.0
5.703 0.000 0.000
-2.851 4.939 0.000
0.000 0.000 4.572
Co Ge
2 6
Direct
0.667 0.333 0.250
0.333 0.667 0.750
0.177 0.353 0.250
0.647 0.823 0.250
0.177 0.823 0.250
0.823 0.177 0.750
0.353 0.177 0.750
0.823 0.647 0.750
```

Results
Total energy, eV per formula unit: -20.389
SG: No. 194
Mass density, g/cm3: 7.140

=====

[13]
A geometry-optimized Rb2CuPtBr6 structure, computed with PBE.

```
Rb2CuPtBr6
1.0
0.000 5.245 5.245
5.245 0.000 5.245
5.245 5.245 0.000
Br Cu Pt Rb
6 1 1 2
Direct
0.252 0.748 0.252
0.748 0.252 0.252
0.748 0.748 0.252
0.748 0.252 0.748
0.252 0.252 0.748
0.252 0.748 0.748
0.000 0.000 0.000
0.500 0.500 0.500
0.250 0.250 0.250
0.750 0.750 0.750
```

Results
Total energy, eV per formula unit: -30.153
SG: No. 225
Mass density, g/cm3: 5.232

=====

[14]
A geometry-optimized KIrAuSeS2 structure, computed with PBE.

```
KIrAuSeS2
1.0
0.373 7.923 2.900
-2.924 -6.287 -4.821
-6.597 -2.208 6.881
Au Ir K S Se
2 2 2 4 2
Direct
0.383 0.617 0.250
0.617 0.383 0.750
0.000 0.000 0.000
0.000 0.000 0.500
0.717 0.283 0.250
0.283 0.717 0.750
0.403 0.597 0.016
0.403 0.597 0.484
0.597 0.403 0.516
0.597 0.403 0.984
0.047 0.953 0.250
0.953 0.047 0.750
```

Results
Total energy, eV per formula unit: -27.119
SG: No. 63
Mass density, g/cm3: 6.549

=====

[15]
A geometry-optimized RbHgNO structure, computed with PBE.

```
RbHgNO
1.0
4.465 0.000 0.000
0.000 4.465 0.000
0.000 0.000 9.684
Hg N O Rb
2 2 2 2
Direct
0.000 0.000 0.500
0.500 0.500 0.500
0.500 0.000 0.477
0.000 0.500 0.523
0.000 0.000 0.000
0.500 0.500 0.000
0.000 0.500 0.157
0.500 0.000 0.843
```

Results
Offset from the most stable computed form, meV/atom: 247.4
Total energy, eV per formula unit: -11.634
SG: No. 129
Mass density, g/cm3: 5.437